# AgP2Au

An optimized crystal structure of AgP2Au (PBE, Alexandria).

Its electronic total energy is -0.275 Ry/atom. The value obtained for the formation energy is 500 meV/atom. The total magnetization comes out at 0.00 μB/cell. Its crystal system is tetragonal.

The space group is I-4m2 (No. 119) and the conventional cell measures 3.973, 3.973 and 8.642 Å, with angles of 90.00, 90.00 and 90.00 degrees. The asymmetric unit holds Ag at (0.000, 0.000, 0.000), P at (0.000, 0.000, 0.500), P at (0.000, 0.500, 0.250) and Au at (0.000, 0.500, 0.750).

# Ag2PAu

An optimized crystal structure of Ag2PAu (PBE, Alexandria).

Its electronic total energy is -0.250 Ry/atom. The value obtained for the formation energy is 199 meV/atom. The total magnetization comes out at 0.00 μB/cell. Its crystal system is monoclinic.

The space group is P2/m (No. 10) and the conventional cell measures 2.845, 4.758 and 5.229 Å, with angles of 90.00, 94.54 and 90.00 degrees. The asymmetric unit holds Ag at (0.226, 0.000, 0.256), P at (0.500, 0.500, 0.500) and Au at (0.500, 0.500, 0.000).

# Ag2PAu

An optimized crystal structure of Ag2PAu (PBE, Alexandria).

Its electronic total energy is -0.248 Ry/atom. The value obtained for the formation energy is 217 meV/atom. The total magnetization comes out at 0.00 μB/cell. Its crystal system is tetragonal.

The space group is P4/mmm (No. 123) and the conventional cell measures 4.035, 4.035 and 4.259 Å, with angles of 90.00, 90.00 and 90.00 degrees. The asymmetric unit holds Ag at (0.000, 0.500, 0.000), P at (0.000, 0.000, 0.500) and Au at (0.500, 0.500, 0.500).

# AgP2Au

An optimized crystal structure of AgP2Au (PBE, Alexandria).

Its electronic total energy is -0.285 Ry/atom. The value obtained for the formation energy is 360 meV/atom. The total magnetization comes out at 0.00 μB/cell. Its crystal system is tetragonal.

The space group is P4/mmm (No. 123) and the conventional cell measures 3.682, 3.682 and 5.285 Å, with angles of 90.00, 90.00 and 90.00 degrees. The asymmetric unit holds Ag at (0.000, 0.000, 0.000), P at (0.000, 0.000, 0.500), P at (0.500, 0.500, 0.000) and Au at (0.500, 0.500, 0.500).

# Ag2PAu

An optimized crystal structure of Ag2PAu (PBE, Alexandria).

Its electronic total energy is -0.250 Ry/atom. The value obtained for the formation energy is 195 meV/atom. The total magnetization comes out at 0.00 μB/cell. Its crystal system is monoclinic.

The space group is Cm (No. 8) and the conventional cell measures 9.926, 3.035 and 4.970 Å, with angles of 90.00, 108.12 and 90.00 degrees. The asymmetric unit holds Ag at (0.000, 0.000, 0.000), Ag at (0.211, 0.000, 0.679), P at (0.458, 0.000, 0.517) and Au at (0.261, 0.500, 0.209).

# Ag2PAu

An optimized crystal structure of Ag2PAu (PBE, Alexandria).

Its electronic total energy is -0.247 Ry/atom. The value obtained for the formation energy is 231 meV/atom. The total magnetization comes out at 0.00 μB/cell. Its crystal system is orthorhombic.

The space group is Cmm2 (No. 35) and the conventional cell measures 4.056, 4.076 and 8.414 Å, with angles of 90.00, 90.00 and 90.00 degrees. The asymmetric unit holds Ag at (0.000, 0.000, 0.000), Ag at (0.000, 0.500, 0.256), P at (0.000, 0.000, 0.498) and Au at (0.000, 0.500, 0.743).

# PmAgPAu

An optimized crystal structure of PmAgPAu (PBE, Alexandria).

Its electronic total energy is -0.337 Ry/atom. The value obtained for the formation energy is -515 meV/atom. The total magnetization comes out at 0.00 μB/cell. Its crystal system is cubic.

The space group is F-43m (No. 216) and the conventional cell measures 6.942, 6.942 and 6.942 Å, with angles of 90.00, 90.00 and 90.00 degrees. The asymmetric unit holds Pm at (0.000, 0.000, 0.000), Ag at (0.000, 0.000, 0.500), P at (0.250, 0.250, 0.250) and Au at (0.250, 0.250, 0.750).

# Ag2PPtAu

An optimized crystal structure of Ag2PPtAu (PBE, Alexandria).

Its electronic total energy is -0.262 Ry/atom. The value obtained for the formation energy is 518 meV/atom. The total magnetization comes out at 0.00 μB/cell. Its crystal system is tetragonal.

The space group is P4/mmm (No. 123) and the conventional cell measures 4.641, 4.641 and 4.612 Å, with angles of 90.00, 90.00 and 90.00 degrees. The asymmetric unit holds Ag at (0.000, 0.500, 0.000), P at (0.000, 0.000, 0.000), Pt at (0.500, 0.500, 0.500) and Au at (0.000, 0.000, 0.500).

# RbAgPAu

An optimized crystal structure of RbAgPAu (PBE, Alexandria).

Its electronic total energy is -0.247 Ry/atom. The value obtained for the formation energy is -240 meV/atom. The total magnetization comes out at 0.00 μB/cell. Its crystal system is orthorhombic.

The space group is Imm2 (No. 44) and the conventional cell measures 4.545, 4.691 and 11.277 Å, with angles of 90.00, 90.00 and 90.00 degrees. The asymmetric unit holds Rb at (0.000, 0.000, 0.000), Ag at (0.000, 0.000, 0.304), P at (0.000, 0.500, 0.248) and Au at (0.000, 0.000, 0.688).

# AgPAu2S4

An optimized crystal structure of AgPAu2S4 (PBE, Alexandria).

Its electronic total energy is -0.295 Ry/atom. The uncorrected formation energy is -0.101 eV per atom. The total magnetization comes out at 0.00 μB/cell. Its crystal system is orthorhombic.

The space group is I222 (No. 23) and the conventional cell measures 6.091, 6.514 and 9.906 Å, with angles of 90.00, 90.00 and 90.00 degrees. The asymmetric unit holds Ag at (0.000, 0.000, 0.000), P at (0.000, 0.500, 0.000), Au at (0.000, 0.236, 0.500) and S at (0.182, 0.311, 0.870).

# AgPAu2Se4

An optimized crystal structure of AgPAu2Se4 (PBE, Alexandria).

Its electronic total energy is -0.263 Ry/atom. The uncorrected formation energy is 0.012 eV per atom. The total magnetization comes out at 0.00 μB/cell. Its crystal system is tetragonal.

The space group is I-4 (No. 82) and the conventional cell measures 5.918, 5.918 and 11.653 Å, with angles of 90.00, 90.00 and 90.00 degrees. The asymmetric unit holds Ag at (0.000, 0.000, 0.000), P at (0.000, 0.500, 0.250), Au at (0.000, 0.000, 0.500), Au at (0.000, 0.500, 0.750) and Se at (0.221, 0.272, 0.364).

# AgSnP2Au

An optimized crystal structure of AgSnP2Au (PBE, Alexandria).

Its electronic total energy is -0.223 Ry/atom. The value obtained for the formation energy is 1162 meV/atom. The total magnetization comes out at 0.00 μB/cell. Its crystal system is tetragonal.

The space group is P4/mmm (No. 123) and the conventional cell measures 5.040, 5.040 and 5.178 Å, with angles of 90.00, 90.00 and 90.00 degrees. The asymmetric unit holds Ag at (0.000, 0.000, 0.000), Sn at (0.000, 0.000, 0.500), P at (0.000, 0.500, 0.500) and Au at (0.500, 0.500, 0.000).